(1)
The following is a DFT calculation (GGA-PBE) of crystalline HfTaSi2 at its relaxed geometry.

```
data_HfTaSi2
_cell_length_a 3.6914
_cell_length_b 3.6914
_cell_length_c 6.4731
_cell_angle_alpha 73.43
_cell_angle_beta 73.43
_cell_angle_gamma 60.00
_space_group_name_H-M_alt 'P 1'
_space_group_IT_number 1
loop_
_space_group_symop_operation_xyz
'x,y,z'
loop_
_atom_site_label
_atom_site_fract_x
_atom_site_fract_y
_atom_site_fract_z
Si1 0.2535 0.2535 0.2394
Si2 0.7465 0.7465 0.7606
Hf1 0.5000 0.5000 0.5000
Ta1 0.0000 0.0000 0.0000
```

## Properties
Uncorrected energy in eV/f.u.: -34.0
Theoretical density in Mg/m³: 9.568
Relative energy among the computed polymorphs in kJ/mol of atoms: 0.00


(2)
The following is a DFT calculation (GGA-PBE) of crystalline TbHfSi2 at its relaxed geometry.

```
data_TbHfSi2
_cell_length_a 3.8990
_cell_length_b 3.8990
_cell_length_c 6.9691
_cell_angle_alpha 73.76
_cell_angle_beta 73.76
_cell_angle_gamma 60.00
_space_group_name_H-M_alt 'P 1'
_space_group_IT_number 1
loop_
_space_group_symop_operation_xyz
'x,y,z'
loop_
_atom_site_label
_atom_site_fract_x
_atom_site_fract_y
_atom_site_fract_z
Si1 0.7420 0.7420 0.7740
Si2 0.2580 0.2580 0.2260
Hf1 0.0000 0.0000 0.0000
Tb1 0.5000 0.5000 0.5000
```

## Properties
Uncorrected energy in eV/f.u.: -27.6
Theoretical density in Mg/m³: 7.527


(3)
The following is a DFT calculation (GGA-PBE) of crystalline Tb2Hf3Si4 at its relaxed geometry.

```
data_Tb2Hf3Si4
_cell_length_a 7.2926
_cell_length_b 7.2926
_cell_length_c 13.3887
_cell_angle_alpha 90.00
_cell_angle_beta 90.00
_cell_angle_gamma 90.00
_space_group_name_H-M_alt 'P 1'
_space_group_IT_number 1
loop_
_space_group_symop_operation_xyz
'x,y,z'
loop_
_atom_site_label
_atom_site_fract_x
_atom_site_fract_y
_atom_site_fract_z
Si1 0.2960 0.0485 0.1853
Si2 0.2039 0.8611 0.5665
Si3 0.3611 0.2961 0.3165
Si4 0.7960 0.4515 0.5647
Si5 0.0485 0.2960 0.8147
Si6 0.5485 0.2040 0.9353
Si7 0.8611 0.2039 0.4335
Si8 0.7039 0.6389 0.1835
Si9 0.7040 0.9515 0.6853
Si10 0.2040 0.5485 0.0647
Si11 0.6389 0.7039 0.8165
Si12 0.1389 0.7961 0.9335
Si13 0.2961 0.3611 0.6835
Si14 0.4515 0.7960 0.4353
Si15 0.9515 0.7040 0.3147
Si16 0.7961 0.1389 0.0665
Tb1 0.4951 0.1563 0.5350
Tb2 0.3437 0.9951 0.7850
Tb3 0.0049 0.6563 0.7150
Tb4 0.1563 0.4951 0.4650
Tb5 0.8437 0.5049 0.9650
Tb6 0.5049 0.8437 0.0350
Tb7 0.6563 0.0049 0.2851
Tb8 0.9951 0.3437 0.2150
Hf1 0.1484 0.9967 0.3738
Hf2 0.6749 0.3251 0.7500
Hf3 0.1749 0.1749 0.0000
Hf4 0.0033 0.8516 0.1262
Hf5 0.4967 0.3516 0.1238
Hf6 0.9967 0.1484 0.6262
Hf7 0.8251 0.8251 0.5000
Hf8 0.3251 0.6749 0.2500
Hf9 0.3516 0.4967 0.8762
Hf10 0.6484 0.5033 0.3762
Hf11 0.5033 0.6484 0.6238
Hf12 0.8516 0.0033 0.8738
```

## Properties
Uncorrected energy in eV/f.u.: -68.3
Theoretical density in Mg/m³: 9.008


(4)
The following is a DFT calculation (GGA-PBE) of crystalline Tb2Hf3Si4 at its relaxed geometry.

```
data_Tb2Hf3Si4
_cell_length_a 7.0768
_cell_length_b 7.2846
_cell_length_c 7.2835
_cell_angle_alpha 90.00
_cell_angle_beta 90.00
_cell_angle_gamma 108.52
_space_group_name_H-M_alt 'P 1'
_space_group_IT_number 1
loop_
_space_group_symop_operation_xyz
'x,y,z'
loop_
_atom_site_label
_atom_site_fract_x
_atom_site_fract_y
_atom_site_fract_z
Hf1 0.7508 0.7474 0.3210
Hf2 0.0000 0.5000 0.5000
Hf3 0.2508 0.7474 0.1790
Hf4 0.2492 0.2526 0.6790
Hf5 0.5000 0.5000 0.0000
Hf6 0.7492 0.2526 0.8210
Tb1 0.9291 0.8097 0.8293
Tb2 0.0709 0.1903 0.1707
Tb3 0.4291 0.8097 0.6707
Tb4 0.5709 0.1903 0.3293
Si1 0.6301 0.5085 0.6243
Si2 0.8690 0.0824 0.5334
Si3 0.8699 0.4915 0.1243
Si4 0.1310 0.9176 0.4666
Si5 0.1301 0.5085 0.8757
Si6 0.3690 0.0824 0.9666
Si7 0.6310 0.9176 0.0334
Si8 0.3699 0.4915 0.3757
```

## Properties
Uncorrected energy in eV/f.u.: -68.3
Theoretical density in Mg/m³: 9.008


no.,ΔE_f (raw) (eV/atom)
1,-0.33
2,-0.54
3,-0.83
4,-0.83